Density functional theory data (PBE) for a relaxed BeCdRe2 crystal.

Summary:
The calculation puts the total magnetic moment at 0.000 μB per cell. Its crystal system is monoclinic. The calculation puts the energy relative to the elements at 490.1 meV per atom. The distance to the lowest polymorph of the same formula is 1.32 eV/f.u.

a = 4.551 Å, b = 4.551 Å, c = 5.170 Å
α = 96.79°, β = 96.79°, γ = 35.79°
Sites, in units of the cell vectors:
Be (0.000, 0.000, 0.000)
Cd (0.235, 0.235, 0.730)
Re (0.483, 0.483, 0.399)
Re (0.733, 0.733, 0.212)